No. 1
18
Lattice="-4.5023 -1.9433 -0.3215 3.2849 -0.8070 -3.5649 3.4727 -8.9084 5.2167" Properties=species:S:1:pos:R:3 comment="Tm3Ni13B2 (PBE, optimized geometry)" formation_enthalpy_0k_ev_per_atom=-0.45 magmom_total_mub_per_cell=2.2 pbc="T T T"
Tm 0.0000 0.0000 0.0000
Tm 1.1420 -2.9296 1.7156
Tm 2.3307 -5.9788 3.5012
Ni -0.5148 -5.4259 2.4476
Ni 1.1277 -5.8294 0.6652
Ni 3.3788 -4.8577 0.8259
Ni 1.7976 -4.0292 -0.8187
Ni -0.7981 -4.4079 0.2624
Ni 0.4578 -7.6297 2.1491
Ni 3.0535 -7.2509 1.0679
Ni -1.7878 -2.1603 0.5353
Ni -0.1453 -2.5639 -1.2471
Ni 2.1058 -1.5922 -1.0864
Ni 0.7582 -8.6915 4.3599
Ni 2.4007 -9.0950 2.5775
Ni 4.6518 -8.1233 2.7382
B 0.6892 -1.1858 -2.4838
B -1.9066 -1.5646 -1.4026

No. 2
6
Lattice="-2.8420 3.2263 2.3682 -1.9993 0.7962 -3.4845 -2.0439 -5.2953 4.7616" Properties=species:S:1:pos:R:3 comment="TlCdO (PBE, optimized geometry)" magmom_total_mub_per_cell=0.0 raw_formation_energy_ev_per_atom=-0.540 de_polymorph_ev_per_atom=0.024 pbc="T T T"
Tl -4.9774 1.0075 0.9294
Tl -2.4052 -0.8344 1.4387
Cd -6.2435 -1.9107 3.3886
Cd -3.1845 -3.2098 3.7425
O -4.6227 -1.6160 4.9333
O -4.8058 -3.5040 2.1983

No. 3
16
Lattice="-0.4282 6.0338 -3.2740 -4.0345 -2.8753 -4.7713 -2.3771 -0.2323 7.1078" Properties=species:S:1:pos:R:3 comment="Ti5Cu2Sn (PBE, optimized geometry)" formation_enthalpy_0k_ev_per_atom=-0.08 magmom_total_mub_per_cell=6.4 pbc="T T T"
Ti -4.6975 0.8800 0.0110
Ti -5.0662 1.9149 -5.2586
Ti 0.0000 0.0000 0.0000
Ti -2.2314 1.5793 -4.0226
Ti -1.7737 1.0113 4.3211
Ti -2.7624 3.4762 1.7680
Ti -3.7087 -1.5848 2.5641
Ti -4.0774 -0.5499 -2.7055
Ti -3.1311 4.5111 -3.5016
Ti -2.1424 2.0462 -0.9485
Cu -1.5369 -0.2510 -2.1862
Cu -0.8085 3.4376 -2.7086
Cu -3.6542 -0.2791 -5.3367
Cu -2.9258 3.4095 -5.8591
Sn -4.5356 2.2528 -2.4801
Sn -2.3042 0.6735 1.5426

No. 4
10
Lattice="-2.9116 3.2039 1.6708 1.5115 -0.8691 4.3005 5.8035 7.5924 1.9983" Properties=species:S:1:pos:R:3 comment="HfBRh3 (PBE, optimized geometry)" formation_enthalpy_0k_ev_per_atom=0.61 magmom_total_mub_per_cell=0.6 de_polymorph_ev_per_atom=1.391 pbc="T T T"
Rh 2.4079 1.5095 4.4661
Rh 5.3324 5.3448 5.4874
Rh 4.5633 5.7871 3.2989
Rh 0.9262 3.1400 5.3164
Rh 1.1196 2.9650 2.7094
Rh 3.2838 6.9622 5.2602
B 2.6273 7.4947 3.0949
B -0.4354 4.4690 3.5598
Hf 0.0000 0.0000 0.0000
Hf 3.3074 3.9454 4.6422

No. 5
13
Lattice="5.7300 0.0000 0.0000 2.8650 6.9528 -0.0124 2.8650 -0.0348 6.9527" Properties=species:S:1:pos:R:3 comment="SrCd5Ag7 (PBE, optimized geometry)" formation_enthalpy_0k_ev_per_atom=-0.09 magmom_total_mub_per_cell=0.0 pbc="T T T"
Sr 5.7300 0.0355 0.0356
Cd 4.2942 0.0019 3.4358
Cd 1.4358 0.0019 3.4358
Cd 4.2942 3.4358 0.0130
Cd 1.4358 3.4358 0.0130
Cd 8.5951 5.4198 5.4373
Ag 5.7300 2.4723 2.4803
Ag 5.7300 4.5088 4.5233
Ag 2.8650 2.4238 4.4818
Ag 2.8650 4.4741 2.4382
Ag 2.8650 1.4831 1.4879
Ag 5.7300 5.4012 1.5136
Ag 5.7300 1.4962 5.4060

No. 6
13
Lattice="-0.3621 3.7423 4.9996 -6.0450 -8.4152 5.8612 8.1323 3.4817 1.2973" Properties=species:S:1:pos:R:3 comment="Pm8Pr3Sm2 (PBE, optimized geometry)" formation_enthalpy_0k_ev_per_atom=0.15 magmom_total_mub_per_cell=0.0 de_polymorph_ev_per_atom=0.000 pbc="T T T"
Pm 4.2535 2.2796 7.6598
Pm -2.5282 -3.4708 4.4982
Pm 0.4673 -4.5168 6.0858
Pm 1.2580 3.3256 6.0722
Pm -2.8362 -5.3024 7.4491
Pm 0.1131 -1.1966 4.5894
Pm 1.6122 0.0054 7.5687
Pm 4.5615 4.1112 4.7090
Pr -0.1810 1.8711 2.4998
Pr -1.4575 -2.0290 1.4132
Pr -4.5875 -6.3863 4.4480
Sm -1.1112 -2.0911 7.9407
Sm 2.8365 0.8999 4.2174